Computed, not measured: Al2Re2Sn after structural relaxation at the PBE level of DFT.

POSCAR file:
```
Al2Re2Sn
1.0
7.021 0.000 0.000
0.000 7.021 0.000
0.000 0.000 3.390
Al Re Sn
4 4 2
direct
0.142 0.358 0.000
0.358 0.858 0.000
0.642 0.142 0.000
0.858 0.642 0.000
0.150 0.650 0.500
0.350 0.150 0.500
0.650 0.850 0.500
0.850 0.350 0.500
0.000 0.000 0.500
0.500 0.500 0.500
```

Values from the calculation:
DOS at the Fermi energy = 0.24 states/eV/atom
Energy of formation from the pure elements = 0.1656 eV per atom
Space-group type = P4/mbm, No. 127
Spin magnetization = 0.000 Bohr magnetons per cell